# CaZrPdPt | Alexandria via LeMat-Bulk | PBE | relaxed
# E_tot   -6.17 eV per atom
# Formation energy   -0.724 eV/atom
# Crystal system   cubic
# Theoretical density   9.07 g cm⁻³
# DOS(E_F)   12.82 states/eV per cell
data_CaZrPdPt
_symmetry_space_group_name_H-M 'F -4 3 m'
_symmetry_Int_Tables_number 216
_symmetry_space_group_name_Hall 'F -4 2 3'
_cell_length_a 6.819
_cell_length_b 6.819
_cell_length_c 6.819
_cell_angle_alpha 90.00
_cell_angle_beta 90.00
_cell_angle_gamma 90.00
loop_
_atom_site_label
_atom_site_type_symbol
_atom_site_fract_x
_atom_site_fract_y
_atom_site_fract_z
Ca1 Ca 0.000 0.000 0.000
Zr1 Zr 0.000 0.000 0.500
Pd1 Pd 0.250 0.250 0.250
Pt1 Pt 0.250 0.250 0.750

***

# Ca2Pu2Pd15 | Alexandria via LeMat-Bulk | PBE | relaxed
# E_tot   -6.20 eV per atom
# Formation energy   -0.386 eV/atom
# Crystal system   trigonal
# Theoretical density   10.27 g cm⁻³
# DOS(E_F)   114.40 states/eV per cell
data_Ca2Pu2Pd15
_symmetry_space_group_name_H-M 'R -3 m'
_symmetry_Int_Tables_number 166
_symmetry_space_group_name_Hall '-R 3 2"'
_cell_length_a 9.2851
_cell_length_b 9.2851
_cell_length_c 14.0661
_cell_angle_alpha 90.00
_cell_angle_beta 90.00
_cell_angle_gamma 120.00
loop_
_atom_site_label
_atom_site_type_symbol
_atom_site_fract_x
_atom_site_fract_y
_atom_site_fract_z
Ca1 Ca 0.0000 0.0000 0.1389
Pu1 Pu 0.0000 0.0000 0.3996
Pd1 Pd 0.0000 0.3078 0.5000
Pd2 Pd 0.0000 0.5000 0.0000
Pd3 Pd 0.0043 0.5022 0.6544

***

# Ca2PuPd4 | Alexandria via LeMat-Bulk | PBE | relaxed
# E_tot   -6.02 eV per atom
# Formation energy   -0.434 eV/atom
# Crystal system   tetragonal
# Theoretical density   7.85 g cm⁻³
# DOS(E_F)   32.59 states/eV per cell
data_Ca2PuPd4
_symmetry_space_group_name_H-M 'I 4/m m m'
_symmetry_Int_Tables_number 139
_symmetry_space_group_name_Hall '-I 4 2'
_cell_length_a 5.364
_cell_length_b 5.364
_cell_length_c 11.021
_cell_angle_alpha 90.00
_cell_angle_beta 90.00
_cell_angle_gamma 90.00
loop_
_atom_site_label
_atom_site_type_symbol
_atom_site_fract_x
_atom_site_fract_y
_atom_site_fract_z
Ca1 Ca 0.000 0.000 0.185
Pu1 Pu 0.000 0.000 0.500
Pd1 Pd 0.000 0.500 0.124

***

# Ca2Pu2Pd3 | Alexandria via LeMat-Bulk | PBE | relaxed
# E_tot   -7.28 eV per atom
# Formation energy   -0.393 eV/atom
# Crystal system   orthorhombic
# Theoretical density   8.98 g cm⁻³
# DOS(E_F)   39.16 states/eV per cell
data_Ca2Pu2Pd3
_symmetry_space_group_name_H-M 'C m m m'
_symmetry_Int_Tables_number 65
_symmetry_space_group_name_Hall '-C 2 2'
_cell_length_a 3.524
_cell_length_b 26.905
_cell_length_c 3.464
_cell_angle_alpha 90.00
_cell_angle_beta 90.00
_cell_angle_gamma 90.00
loop_
_atom_site_label
_atom_site_type_symbol
_atom_site_fract_x
_atom_site_fract_y
_atom_site_fract_z
Ca1 Ca 0.000 0.065 0.000
Pu1 Pu 0.000 0.198 0.000
Pd1 Pd 0.000 0.364 0.500
Pd2 Pd 0.000 0.500 0.500

***

# CaPu3Pd4 | Alexandria via LeMat-Bulk | PBE | relaxed
# E_tot   -8.68 eV per atom
# Formation energy   -0.456 eV/atom
# Crystal system   orthorhombic
# Theoretical density   11.41 g cm⁻³
# DOS(E_F)   31.44 states/eV per cell
data_CaPu3Pd4
_symmetry_space_group_name_H-M 'P m m m'
_symmetry_Int_Tables_number 47
_cell_length_a 3.318
_cell_length_b 5.119
_cell_length_c 10.269
_cell_angle_alpha 90.00
_cell_angle_beta 90.00
_cell_angle_gamma 90.00
loop_
_symmetry_equiv_pos_as_xyz
'x,y,z'
'-x,-y,-z'
'-x,-y,z'
'x,y,-z'
'x,-y,-z'
'-x,y,z'
'-x,y,-z'
'x,-y,z'
loop_
_atom_site_label
_atom_site_type_symbol
_atom_site_fract_x
_atom_site_fract_y
_atom_site_fract_z
Ca1 Ca 0.000 0.000 0.000
Pu1 Pu 0.000 0.000 0.500
Pu2 Pu 0.000 0.500 0.250
Pd1 Pd 0.500 0.000 0.252
Pd2 Pd 0.500 0.500 0.000
Pd3 Pd 0.500 0.500 0.500

***

# CaPuPd10 | Alexandria via LeMat-Bulk | PBE | relaxed
# E_tot   -6.03 eV per atom
# Formation energy   -0.337 eV/atom
# Crystal system   orthorhombic
# Theoretical density   10.14 g cm⁻³
# DOS(E_F)   25.98 states/eV per cell
data_CaPuPd10
_symmetry_space_group_name_H-M 'P m m m'
_symmetry_Int_Tables_number 47
_cell_length_a 4.498
_cell_length_b 5.321
_cell_length_c 9.228
_cell_angle_alpha 90.00
_cell_angle_beta 90.00
_cell_angle_gamma 90.00
loop_
_symmetry_equiv_pos_as_xyz
'x,y,z'
'-x,-y,-z'
'-x,-y,z'
'x,y,-z'
'x,-y,-z'
'-x,y,z'
'-x,y,-z'
'x,-y,z'
loop_
_atom_site_label
_atom_site_type_symbol
_atom_site_fract_x
_atom_site_fract_y
_atom_site_fract_z
Ca1 Ca 0.000 0.000 0.000
Pu1 Pu 0.000 0.500 0.500
Pd1 Pd 0.000 0.000 0.336
Pd2 Pd 0.000 0.500 0.171
Pd3 Pd 0.500 0.000 0.500
Pd4 Pd 0.500 0.251 0.252
Pd5 Pd 0.500 0.500 0.000